## Ba4PmTl5 (PBE-GGA)

Data for a geometry-optimized Ba4PmTl5 structure.

Values from the calculation:
ΔE_f   -3.8 eV per formula unit
Space group   P4/mmm
Magnetization   0.00 μB/cell
Energy   -2.8119 eV per atom
Mass density   7641 kg/m3

a = 4.1610 Å, b = 4.1610 Å, c = 21.5407 Å
α = 90.00°, β = 90.00°, γ = 90.00°
Atoms (fractional coordinates):
Ba 0.0000 0.0000 0.1889
Tl 0.5000 0.5000 0.0802
Tl 0.5000 0.5000 0.2952
Tl 0.5000 0.5000 0.7048
Tl 0.5000 0.5000 0.9198
Ba 0.0000 0.0000 0.3973
Tl 0.5000 0.5000 0.5000
Pm 0.0000 0.0000 0.0000
Ba 0.0000 0.0000 0.8111
Ba 0.0000 0.0000 0.6027

## KSrW2 (PBE-GGA)

Data for a geometry-optimized KSrW2 structure.

Values from the calculation:
ΔE_f   6.9 eV per formula unit
Space group   F-43m
Magnetization   0.00 μB/cell
Energy   -5.4574 eV per atom
Mass density   9160 kg/m3

a = 5.0232 Å, b = 5.0232 Å, c = 5.0232 Å
α = 60.00°, β = 60.00°, γ = 60.00°
Atoms (fractional coordinates):
K 0.5000 0.5000 0.5000
Sr 0.7500 0.7500 0.7500
W 0.2500 0.2500 0.2500
W 0.0000 0.0000 0.0000

## NaSiAs (PBE-GGA)

Data for a geometry-optimized NaSiAs structure.

Values from the calculation:
Formation energy from raw total energies   -0.18 eV per atom
Space group   Cm
Magnetization   0.00 μB/cell
Energy   -3.9774 eV per atom
Mass density   2884 kg/m3

a = 9.0144 Å, b = 3.6770 Å, c = 10.4059 Å
α = 90.00°, β = 122.73°, γ = 90.00°
Atoms (fractional coordinates):
Na 0.6322 0.0000 0.6683
As 0.0243 0.5000 0.2703
As 0.0243 0.0000 0.7703
Si 0.8018 0.5000 0.9877
Na 0.6322 0.5000 0.1683
Si 0.8018 0.0000 0.4877
As 0.6020 0.0000 0.9258
Si 0.0248 0.0000 0.4227
Na 0.2706 0.0000 0.2117
As 0.6020 0.5000 0.4258
Na 0.2706 0.5000 0.7117
Si 0.0248 0.5000 0.9227

## GeC2F2 (PBE-GGA)

Data for a geometry-optimized GeC2F2 structure.

Values from the calculation:
Formation energy from raw total energies   1.47 eV per atom
Space group   P4/mbm
Magnetization   0.00 μB/cell
Energy   -3.8957 eV per atom
Mass density   3659 kg/m3

a = 6.9982 Å, b = 6.9982 Å, c = 2.4957 Å
α = 90.00°, β = 90.00°, γ = 90.00°
Atoms (fractional coordinates):
Ge 0.5000 0.5000 0.0000
Ge 0.0000 0.0000 0.0000
F 0.1205 0.3795 0.0000
C 0.2597 0.7597 0.5000
F 0.6205 0.1205 0.0000
F 0.3795 0.8795 0.0000
C 0.7403 0.2403 0.5000
C 0.7597 0.7403 0.5000
F 0.8795 0.6205 0.0000
C 0.2403 0.2597 0.5000

## AlIr2Pb (PBE-GGA)

Data for a geometry-optimized AlIr2Pb structure.

Values from the calculation:
ΔE_f   0.1 eV per formula unit
Space group   P4/mmm
Magnetization   0.00 μB/cell
Energy   -6.2669 eV per atom
Mass density   15412 kg/m3

a = 3.6272 Å, b = 4.2867 Å, c = 4.2867 Å
α = 90.00°, β = 90.00°, γ = 90.00°
Atoms (fractional coordinates):
Al 0.5000 0.0000 0.5000
Pb 0.5000 0.5000 0.0000
Ir 0.0000 0.0000 0.0000
Ir 0.0000 0.5000 0.5000

## HgAsBr2 (PBE-GGA)

Data for a geometry-optimized HgAsBr2 structure.

Values from the calculation:
Formation energy from raw total energies   -0.06 eV per atom
Space group   P4mm
Magnetization   0.00 μB/cell
Energy   -2.1347 eV per atom
Mass density   5591 kg/m3

a = 3.8994 Å, b = 3.9026 Å, c = 8.4962 Å
α = 90.00°, β = 90.00°, γ = 90.00°
Atoms (fractional coordinates):
Br 0.5000 0.5000 0.2958
Br 0.0000 0.0000 0.9690
Hg 0.0000 0.0000 0.6660
As 0.5000 0.5000 0.5692

## InTc2Rh (PBE-GGA)

Data for a geometry-optimized InTc2Rh structure.

Values from the calculation:
ΔE_f   1.1 eV per formula unit
Space group   R-3m
Magnetization   0.00 μB/cell
Energy   -7.4264 eV per atom
Mass density   10811 kg/m3

a = 9.2396 Å, b = 9.2396 Å, c = 9.2396 Å
α = 17.69°, β = 17.69°, γ = 17.69°
Atoms (fractional coordinates):
In 0.2500 0.2500 0.2500
Tc 0.0047 0.0047 0.0047
Tc 0.4953 0.4953 0.4953
Rh 0.7500 0.7500 0.7500

## LaTbPmHg (PBE-GGA)

Data for a geometry-optimized LaTbPmHg structure.

Values from the calculation:
ΔE_f   -0.2 eV per formula unit
Space group   F-43m
Magnetization   0.10 μB/cell
Energy   -3.7103 eV per atom
Mass density   8840 kg/m3

a = 5.5497 Å, b = 5.5497 Å, c = 5.5497 Å
α = 60.00°, β = 60.00°, γ = 60.00°
Atoms (fractional coordinates):
La 0.7500 0.7500 0.7500
Pm 0.5000 0.5000 0.5000
Tb 0.2500 0.2500 0.2500
Hg 0.0000 0.0000 0.0000